## GaSF2 (PBE)

Data for a relaxed GaSF2 crystal.

Properties
The energy relative to the elements, uncorrected comes out at -656 meV/atom. For the energy above the most stable polymorph in this dataset, the calculation gives 1.239 eV per formula unit. For the uncorrected energy, the calculation gives -3.38 eV/atom. The space-group type is R-3m.

Lattice parameters (Å, degrees): 9.586 9.586 9.586 17.12 17.12 17.12
Sites, in units of the cell vectors:
Ga 0.000 0.000 0.000
S 0.500 0.500 0.500
F 0.063 0.063 0.063
F 0.937 0.937 0.937